The following is a DFT calculation (GGA-PBE) of an optimized crystal structure of LuMgSc2.

The total energy comes out at -4.61 eV/atom.

The space group is F-43m (No. 216) and the conventional cell measures 7.307, 7.307 and 7.307 Å, with angles of 90.00, 90.00 and 90.00 degrees. Symmetry generates all atoms from Lu at (0.000, 0.000, 0.000), Mg at (0.250, 0.250, 0.750), Sc at (0.000, 0.000, 0.500) and Sc at (0.250, 0.250, 0.250).